(1)
Computed, not measured: a relaxed structure of Sr3ZrPb at the PBE level of DFT.

Values from the calculation:
Energy above the most stable polymorph in this dataset ... 0.0 kJ per mole of atoms
Density ... 3.725 g cm⁻³

a b c (Å): 6.301 6.301 6.301
angles (deg): 90.00 90.00 90.00
Space group Pm-3m (No. 221)
Asymmetric unit:
1 Sr 0.000 0.000 0.500 (multiplicity 3)
2 Zr 0.500 0.500 0.500 (multiplicity 1)
3 Pb 0.000 0.000 0.000 (multiplicity 1)



(2)
Computed, not measured: a relaxed structure of Sr2ZrPb at the PBE level of DFT.

Values from the calculation:
Density ... 6.040 g cm⁻³

a b c (Å): 6.757 11.079 3.479
angles (deg): 90.00 90.66 90.00
Space group C2/m (No. 12)
Asymmetric unit:
1 Sr 0.250 0.250 0.000 (multiplicity 4)
2 Zr 0.000 0.000 0.500 (multiplicity 2)
3 Pb 0.000 0.500 0.500 (multiplicity 2)



(3)
Computed, not measured: a relaxed structure of SrZr2Pb2 at the PBE level of DFT.

Values from the calculation:
Energy above the most stable polymorph in this dataset ... 6.8 kJ per mole of atoms
Density ... 8.361 g cm⁻³

a b c (Å): 9.030 9.030 3.334
angles (deg): 90.00 90.00 90.00
Space group P4/mbm (No. 127)
Asymmetric unit:
1 Sr 0.000 0.000 0.000 (multiplicity 2)
2 Zr 0.117 0.383 0.000 (multiplicity 4)
3 Pb 0.175 0.675 0.500 (multiplicity 4)



(4)
Computed, not measured: a relaxed structure of SrZr2Pb at the PBE level of DFT.

Values from the calculation:
Density ... 6.817 g cm⁻³

a b c (Å): 10.274 3.319 6.857
angles (deg): 90.00 95.95 90.00
Space group Cm (No. 8)
Asymmetric unit:
1 Sr 0.000 0.000 0.000 (multiplicity 2)
2 Zr 0.225 0.000 0.671 (multiplicity 2)
3 Zr 0.490 0.000 0.520 (multiplicity 2)
4 Pb 0.248 0.500 0.281 (multiplicity 2)



(5)
Computed, not measured: a relaxed structure of Sr2ZrPb at the PBE level of DFT.

Values from the calculation:
Density ... 6.151 g cm⁻³

a b c (Å): 4.862 4.862 10.819
angles (deg): 90.00 90.00 90.00
Space group I4/mmm (No. 139)
Asymmetric unit:
1 Sr 0.000 0.500 0.250 (multiplicity 4)
2 Zr 0.000 0.000 0.000 (multiplicity 2)
3 Pb 0.000 0.000 0.500 (multiplicity 2)



(6)
Computed, not measured: a relaxed structure of SrZr2Pb at the PBE level of DFT.

Values from the calculation:
Density ... 6.909 g cm⁻³

a b c (Å): 3.468 4.067 8.134
angles (deg): 90.00 90.00 90.00
Space group Pmm2 (No. 25)
Asymmetric unit:
1 Sr 0.000 0.000 0.000 (multiplicity 1)
2 Zr 0.000 0.000 0.512 (multiplicity 1)
3 Zr 0.500 0.500 0.318 (multiplicity 1)
4 Pb 0.500 0.500 0.718 (multiplicity 1)



(7)
Computed, not measured: a relaxed structure of Sr2ZrPb at the PBE level of DFT.

Values from the calculation:
Density ... 5.674 g cm⁻³

a b c (Å): 13.164 3.653 6.182
angles (deg): 90.00 111.16 90.00
Space group Cm (No. 8)
Asymmetric unit:
1 Sr 0.000 0.000 0.000 (multiplicity 2)
2 Sr 0.202 0.000 0.627 (multiplicity 2)
3 Zr 0.274 0.500 0.187 (multiplicity 2)
4 Pb 0.457 0.000 0.481 (multiplicity 2)



(8)
Computed, not measured: a relaxed structure of SrZr2Pb at the PBE level of DFT.

Values from the calculation:
Density ... 6.599 g cm⁻³

a b c (Å): 8.753 8.753 6.270
angles (deg): 90.00 90.00 90.00
Space group I-42d (No. 122)
Asymmetric unit:
1 Sr 0.000 0.000 0.000 (multiplicity 4)
2 Zr 0.213 0.250 0.625 (multiplicity 8)
3 Pb 0.000 0.000 0.500 (multiplicity 4)



no.,magnetization (μB/f.u.),DFT formation energy (eV/atom)
1,3.9,0.573
2,0.0,0.183
3,0.2,-0.090
4,0.0,0.152
5,1.7,0.156
6,0.0,0.000
7,1.1,0.078
8,0.0,0.526